Entry A
9
Lattice="-3.191 3.191 4.403 3.191 -3.191 4.403 3.191 3.191 -4.403" Properties=species:S:1:pos:R:3 comment="Hf6HPb2 PBE-GGA optimized geometry" m_tot_mub_per_cell=0.0 n_ef_per_ev_atom=0.892 pbc="T T T"
Hf 0.000 0.000 2.177
Hf 1.588 1.588 0.000
Hf 1.603 -1.603 4.403
Hf -1.603 1.603 4.403
Hf 1.603 1.603 4.403
Hf 0.000 0.000 6.630
H 0.000 0.000 4.403
Pb 3.191 0.000 2.202
Pb 0.000 3.191 2.202

Entry B
18
Lattice="6.211 0.000 0.000 0.000 5.916 0.000 -6.112 0.000 10.072" Properties=species:S:1:pos:R:3 comment="Hf6HPb2 PBE-GGA optimized geometry" m_tot_mub_per_cell=0.0 n_ef_per_ev_atom=0.685 pbc="T T T"
Hf -0.749 0.184 2.506
Hf -3.805 2.773 7.542
Hf 0.790 1.481 0.104
Hf -2.266 1.477 5.140
Hf -0.827 4.190 5.138
Hf 2.229 4.683 0.102
Hf -2.130 1.232 9.970
Hf 0.926 1.725 4.934
Hf 2.366 4.439 4.932
Hf -0.690 4.434 9.968
Hf 3.904 3.142 2.530
Hf 0.848 5.731 7.566
H 0.050 0.000 5.036
H 3.106 2.958 0.000
Pb 0.685 3.372 2.456
Pb -2.371 5.502 7.491
Pb 2.470 0.414 2.580
Pb -0.586 2.544 7.616

Which structure is the least stable? The one labeled entry B.

Entry A
10
Lattice="3.092 -4.781 0.000 3.092 4.781 0.000 0.000 0.000 6.181" Properties=species:S:1:pos:R:3 comment="Hf3HPb PBE-GGA optimized geometry" m_tot_mub_per_cell=0.0 n_ef_per_ev_atom=1.049 pbc="T T T"
Hf 1.516 0.000 0.000
Hf 1.516 0.000 3.090
Hf 3.092 2.429 4.636
Hf 3.092 -2.429 1.545
Hf 4.669 0.000 0.000
Hf 4.669 0.000 3.090
H 3.092 0.413 4.636
H 3.092 -0.413 1.545
Pb 3.092 2.435 1.545
Pb 3.092 -2.435 4.636

Entry B
5
Lattice="5.395 0.000 0.000 0.000 5.395 0.000 0.000 0.000 5.395" Properties=species:S:1:pos:R:3 comment="Hf3HPb PBE-GGA optimized geometry" m_tot_mub_per_cell=0.0 n_ef_per_ev_atom=1.999 pbc="T T T"
Hf 0.000 0.000 2.697
Hf 0.000 2.697 0.000
Hf 2.697 0.000 0.000
H 2.697 2.697 2.697
Pb 0.000 0.000 0.000

Entry C
5
Lattice="4.477 0.000 0.000 0.000 4.477 0.000 0.000 0.000 4.477" Properties=species:S:1:pos:R:3 comment="Hf3HPb PBE-GGA optimized geometry" m_tot_mub_per_cell=0.0 n_ef_per_ev_atom=1.259 pbc="T T T"
Hf 0.000 0.000 2.239
Hf 0.000 2.239 0.000
Hf 2.239 0.000 0.000
H 0.000 0.000 0.000
Pb 2.239 2.239 2.239

Which structure is the least stable? The one labeled entry B.